Compound: SnTePt3
Source: Alexandria via LeMat-Bulk
Functional: GGA-PBE
Structure: optimized geometry

```
SnTePt3
1.0
4.9912 0.0000 0.0000
0.0000 4.9912 0.0000
0.0000 0.0000 4.9912
Sn Te Pt
1 1 3
direct
0.0000 0.0000 0.0000 Sn
0.5000 0.5000 0.5000 Te
0.0000 0.5000 0.5000 Pt
0.5000 0.0000 0.5000 Pt
0.5000 0.5000 0.0000 Pt
```

Values from the calculation:
- Energy above the most stable polymorph in this dataset: 0.000 eV per formula unit
- ΔE_f (raw): 0.480 eV per atom
- Volume: 24.87 Å³ per atom
- DFT total energy: -4.573 eV/atom
- Size of the total moment: 0.00 μB per atom

***

Compound: SnTePt
Source: Alexandria via LeMat-Bulk
Functional: GGA-PBE
Structure: optimized geometry

```
SnTePt
1.0
4.2737 0.0000 0.0000
-0.0039 5.3614 0.0000
-1.6196 -0.0021 7.0746
Sn Te Pt
2 2 2
direct
0.0000 0.0000 0.0000 Sn
0.0010 0.6170 0.4990 Sn
0.4603 0.4538 0.0331 Te
0.4608 0.1635 0.5337 Te
0.4220 0.8269 0.7939 Pt
0.4231 0.7907 0.2938 Pt
```

Values from the calculation:
- ΔE_f (raw): -0.308 eV per atom
- Volume: 27.02 Å³ per atom
- DFT total energy: -4.703 eV/atom
- Size of the total moment: 0.00 μB per atom

***

Compound: SnTePt
Source: Alexandria via LeMat-Bulk
Functional: GGA-PBE
Structure: optimized geometry

```
SnTePt
1.0
0.0000 3.3391 3.3391
3.3391 0.0000 3.3391
3.3391 3.3391 0.0000
Sn Te Pt
1 1 1
direct
0.0000 0.0000 0.0000 Sn
0.5000 0.5000 0.5000 Te
0.7500 0.7500 0.7500 Pt
```

Values from the calculation:
- ΔE_f (raw): -0.295 eV per atom
- Volume: 24.82 Å³ per atom
- DFT total energy: -4.690 eV/atom
- Size of the total moment: 0.00 μB per atom